# 1
BaZr2N, relaxed, DFT PBE-GGA; space group = No. 227
1.0
0.000 4.883 4.883
4.883 0.000 4.883
4.883 4.883 0.000
Ba Zr N
2 4 2
Direct
0.125 0.125 0.125
0.875 0.875 0.875
0.000 0.500 0.500
0.500 0.000 0.500
0.500 0.500 0.000
0.500 0.500 0.500
0.375 0.375 0.375
0.625 0.625 0.625

***

# 2
AlNiCl2, relaxed, DFT PBE-GGA; excess energy over the best structure of this formula in the dataset = 319.2 meV/atom; space group = No. 10
1.0
4.954 0.000 0.000
0.000 3.390 0.000
-2.254 0.000 5.660
Al Ni Cl
1 1 2
Direct
0.000 0.000 0.000
0.500 0.000 0.000
0.355 0.500 0.720
0.645 0.500 0.280

***

# 3
MgMoCl, relaxed, DFT PBE-GGA; excess energy over the best structure of this formula in the dataset = 426.8 meV/atom; space group = No. 187
1.0
4.575 0.000 0.000
-2.288 3.962 0.000
0.000 0.000 2.871
Mg Mo Cl
1 1 1
Direct
0.000 0.000 0.000
0.333 0.667 0.500
0.667 0.333 0.500

***

E_form (uncorrected) for the records above, in order: -0.35, -0.25, 0.46 eV per atom